# GGA-PBE BaCuB, relaxed
data_BaCuB
_space_group_name_H-M_alt 'F -4 3 m'
_space_group_IT_number 216
_space_group_name_Hall 'F -4 2 3'
_cell_length_a 6.566
_cell_length_b 6.566
_cell_length_c 6.566
_cell_angle_alpha 90.00
_cell_angle_beta 90.00
_cell_angle_gamma 90.00
loop_
_atom_site_label
_atom_site_fract_x
_atom_site_fract_y
_atom_site_fract_z
Ba1 0.000 0.000 0.000
Cu1 0.000 0.000 0.500
B1 0.250 0.250 0.250
# Crystal system: cubic
# Offset from the most stable computed form (eV per formula unit): 0.00